No. 1
Crystalline Nd2YH at its relaxed geometry. Source: the Alexandria database, functional GGA-PBE.

a = 3.701 Å, b = 3.701 Å, c = 9.053 Å
α = 78.21°, β = 78.21°, γ = 60.00°
Fractional positions:
Y (0.500, 0.500, 0.500)
Nd (0.278, 0.278, 0.166)
Nd (0.722, 0.722, 0.834)
H (0.000, 0.000, 0.000)

density of states at the Fermi level	3.28	states/eV/cell
electronic total energy	-4.987	eV/atom
ρ	6.02	g/cm³
total moment	0.00	μB per cell

No. 2
Crystalline PmZn2Sn at its relaxed geometry. Source: the Alexandria database, functional GGA-PBE.

a = 4.442 Å, b = 5.809 Å, c = 4.646 Å
α = 128.70°, β = 90.00°, γ = 90.00°
Fractional positions:
Zn (0.000, 0.083, 0.167)
Pm (0.500, 0.796, 0.592)
Sn (0.000, 0.477, 0.954)
Zn (0.500, 0.247, 0.493)

calculated formation energy	-0.233	eV/atom
density of states at the Fermi level	2.60	states/eV/cell
electronic total energy	-3.058	eV/atom
ρ	7.00	g/cm³
total moment	0.00	μB per cell

No. 3
Crystalline YMo at its relaxed geometry. Source: the Alexandria database, functional GGA-PBE.

a = 3.488 Å, b = 6.353 Å, c = 4.333 Å
α = 90.00°, β = 90.00°, γ = 105.93°
Fractional positions:
Y (0.161, 0.322, 0.250)
Y (0.839, 0.678, 0.750)
Mo (0.555, 0.109, 0.750)
Mo (0.445, 0.891, 0.250)

calculated formation energy	0.362	eV/atom
density of states at the Fermi level	4.53	states/eV/cell
electronic total energy	-8.285	eV/atom
ρ	6.65	g/cm³
total moment	0.00	μB per cell

No. 4
Crystalline K2In4HgGe3 at its relaxed geometry. Source: the Alexandria database, functional GGA-PBE.

a = 4.964 Å, b = 4.964 Å, c = 11.471 Å
α = 90.00°, β = 90.00°, γ = 90.00°
Fractional positions:
K (0.000, 0.500, 0.747)
Ge (0.000, 0.000, 0.500)
In (0.500, 0.000, 0.633)
In (0.000, 0.000, 0.000)
In (0.500, 0.500, 0.000)
Ge (0.500, 0.000, 0.872)
Ge (0.000, 0.500, 0.128)
In (0.000, 0.500, 0.367)
K (0.500, 0.000, 0.253)
Hg (0.500, 0.500, 0.500)

calculated formation energy	-0.095	eV/atom
density of states at the Fermi level	3.91	states/eV/cell
electronic total energy	-2.826	eV/atom
ρ	5.62	g/cm³
total moment	0.00	μB per cell

No. 5
Crystalline Cu4PbAu8 at its relaxed geometry. Source: the Alexandria database, functional GGA-PBE.

a = 5.315 Å, b = 7.064 Å, c = 7.064 Å
α = 81.86°, β = 67.90°, γ = 67.90°
Fractional positions:
Au (0.500, 0.222, 0.778)
Au (0.722, 0.778, 0.778)
Au (0.000, 0.340, 0.660)
Cu (0.500, 0.000, 0.500)
Cu (0.000, 0.500, 0.000)
Cu (0.000, 0.000, 0.500)
Au (0.340, 0.660, 0.660)
Au (0.000, 0.660, 0.340)
Pb (0.000, 0.000, 0.000)
Au (0.660, 0.340, 0.340)
Au (0.278, 0.222, 0.222)
Au (0.500, 0.778, 0.222)
Cu (0.500, 0.500, 0.000)

calculated formation energy	-0.021	eV/atom
density of states at the Fermi level	2.85	states/eV/cell
electronic total energy	-3.584	eV/atom
ρ	14.86	g/cm³
total moment	0.00	μB per cell

No. 6
Crystalline BeCr2As at its relaxed geometry. Source: the Alexandria database, functional GGA-PBE.

a = 4.377 Å, b = 4.377 Å, c = 4.377 Å
α = 130.31°, β = 130.31°, γ = 72.91°
Fractional positions:
Cr (0.500, 0.500, 0.000)
Cr (0.000, 0.000, 0.000)
As (0.250, 0.750, 0.500)
Be (0.750, 0.250, 0.500)

calculated formation energy	0.168	eV/atom
density of states at the Fermi level	4.60	states/eV/cell
electronic total energy	-6.738	eV/atom
ρ	6.55	g/cm³
total moment	3.51	μB per cell

No. 7
Crystalline Zn2CrSi at its relaxed geometry. Source: the Alexandria database, functional GGA-PBE.

a = 2.580 Å, b = 2.580 Å, c = 8.261 Å
α = 90.00°, β = 90.00°, γ = 90.00°
Fractional positions:
Si (0.500, 0.500, 0.724)
Zn (0.500, 0.500, 0.265)
Cr (0.000, 0.000, 0.504)
Zn (0.000, 0.000, 0.007)

density of states at the Fermi level	2.44	states/eV/cell
electronic total energy	-4.202	eV/atom
ρ	6.37	g/cm³
total moment	0.00	μB per cell
energy relative to the elements, uncorrected	19.0	kJ per mole of atoms

No. 8
Crystalline ZrNbW3 at its relaxed geometry. Source: the Alexandria database, functional GGA-PBE.

a = 4.741 Å, b = 4.741 Å, c = 4.741 Å
α = 90.00°, β = 90.00°, γ = 90.00°
Fractional positions:
Nb (0.500, 0.500, 0.500)
Zr (0.000, 0.000, 0.000)
W (0.000, 0.500, 0.000)
W (0.500, 0.000, 0.000)
W (0.000, 0.000, 0.500)

calculated formation energy	2.445	eV/atom
density of states at the Fermi level	7.74	states/eV/cell
electronic total energy	-9.051	eV/atom
ρ	11.47	g/cm³
total moment	0.00	μB per cell

No. 9
Crystalline Be4VAu at its relaxed geometry. Source: the Alexandria database, functional GGA-PBE.

a = 4.449 Å, b = 4.449 Å, c = 4.449 Å
α = 60.00°, β = 60.00°, γ = 60.00°
Fractional positions:
Be (0.621, 0.621, 0.621)
Au (0.000, 0.000, 0.000)
Be (0.621, 0.138, 0.621)
V (0.250, 0.250, 0.250)
Be (0.621, 0.621, 0.138)
Be (0.138, 0.621, 0.621)

calculated formation energy	-0.037	eV/atom
density of states at the Fermi level	3.66	states/eV/cell
electronic total energy	-4.587	eV/atom
ρ	7.57	g/cm³
total moment	0.41	μB per cell

No. 10
Crystalline InAs2Pb at its relaxed geometry. Source: the Alexandria database, functional GGA-PBE.

a = 4.208 Å, b = 4.124 Å, c = 7.156 Å
α = 54.78°, β = 90.00°, γ = 90.00°
Fractional positions:
Pb (0.500, 0.626, 0.875)
As (0.500, 0.124, 0.375)
As (0.000, 0.126, 0.875)
In (0.000, 0.624, 0.375)

calculated formation energy	0.024	eV/atom
density of states at the Fermi level	1.98	states/eV/cell
electronic total energy	-3.912	eV/atom
ρ	7.72	g/cm³
total moment	0.00	μB per cell

No. 11
Crystalline Sn2Br8Cl at its relaxed geometry. Source: the Alexandria database, functional GGA-PBE.

a = 7.454 Å, b = 7.454 Å, c = 9.400 Å
α = 84.95°, β = 84.95°, γ = 95.97°
Fractional positions:
Sn (0.827, 0.827, 0.278)
Cl (0.000, 0.000, 0.000)
Br (0.721, 0.721, 0.536)
Br (0.147, 0.752, 0.266)
Br (0.279, 0.279, 0.464)
Sn (0.173, 0.173, 0.722)
Br (0.631, 0.631, 0.138)
Br (0.369, 0.369, 0.862)
Br (0.853, 0.248, 0.734)
Br (0.248, 0.853, 0.734)
Br (0.752, 0.147, 0.266)

density of states at the Fermi level	4.77	states/eV/cell
electronic total energy	-2.609	eV/atom
ρ	2.94	g/cm³
total moment	1.10	μB per cell
energy relative to the elements, uncorrected	-48.0	kJ per mole of atoms

No. 12
Crystalline La3Al7Rh4 at its relaxed geometry. Source: the Alexandria database, functional GGA-PBE.

a = 4.319 Å, b = 8.142 Å, c = 8.622 Å
α = 70.35°, β = 75.50°, γ = 74.62°
Fractional positions:
Al (0.154, 0.615, 0.077)
Al (0.506, 0.783, 0.205)
Al (0.494, 0.217, 0.795)
Rh (0.109, 0.118, 0.665)
Rh (0.337, 0.537, 0.788)
Al (0.000, 0.000, 0.000)
La (0.693, 0.813, 0.801)
Al (0.317, 0.846, 0.520)
La (0.000, 0.500, 0.500)
La (0.307, 0.187, 0.199)
Al (0.683, 0.154, 0.480)
Rh (0.891, 0.882, 0.335)
Rh (0.663, 0.463, 0.212)
Al (0.846, 0.385, 0.923)

calculated formation energy	-0.777	eV/atom
density of states at the Fermi level	7.61	states/eV/cell
electronic total energy	-5.804	eV/atom
ρ	6.24	g/cm³
total moment	0.00	μB per cell

No. 13
Crystalline Ac6Pt2O at its relaxed geometry. Source: the Alexandria database, functional GGA-PBE.

a = 6.982 Å, b = 7.725 Å, c = 10.825 Å
α = 90.00°, β = 91.34°, γ = 90.00°
Fractional positions:
Pt (0.432, 0.117, 0.760)
Ac (0.149, 0.034, 0.258)
Pt (0.068, 0.617, 0.740)
Ac (0.649, 0.466, 0.758)
Ac (0.183, 0.333, 0.932)
O (0.000, 0.000, 0.500)
Ac (0.851, 0.966, 0.742)
Pt (0.932, 0.383, 0.260)
Ac (0.169, 0.313, 0.565)
Ac (0.683, 0.167, 0.432)
Pt (0.568, 0.883, 0.240)
Ac (0.331, 0.813, 0.935)
Ac (0.669, 0.187, 0.065)
Ac (0.317, 0.833, 0.568)
O (0.500, 0.500, 0.000)
Ac (0.817, 0.667, 0.068)
Ac (0.351, 0.534, 0.242)
Ac (0.831, 0.687, 0.435)

density of states at the Fermi level	17.22	states/eV/cell
electronic total energy	-5.748	eV/atom
ρ	10.06	g/cm³
total moment	0.00	μB per cell
energy relative to the elements, uncorrected	-107.7	kJ per mole of atoms

No. 14
Crystalline LiTa2Al2 at its relaxed geometry. Source: the Alexandria database, functional GGA-PBE.

a = 8.205 Å, b = 8.205 Å, c = 2.808 Å
α = 90.00°, β = 90.00°, γ = 90.00°
Fractional positions:
Ta (0.617, 0.117, 0.000)
Al (0.677, 0.823, 0.500)
Ta (0.117, 0.383, 0.000)
Al (0.177, 0.677, 0.500)
Al (0.823, 0.323, 0.500)
Al (0.323, 0.177, 0.500)
Li (0.500, 0.500, 0.000)
Li (0.000, 0.000, 0.000)
Ta (0.383, 0.883, 0.000)
Ta (0.883, 0.617, 0.000)

calculated formation energy	0.092	eV/atom
density of states at the Fermi level	8.98	states/eV/cell
electronic total energy	-6.529	eV/atom
ρ	7.43	g/cm³
total moment	0.00	μB per cell

No. 15
Crystalline Ac3NpSb4 at its relaxed geometry. Source: the Alexandria database, functional GGA-PBE.

a = 8.155 Å, b = 8.155 Å, c = 9.427 Å
α = 90.00°, β = 90.00°, γ = 109.50°
Fractional positions:
Sb (0.491, 0.243, 0.366)
Np (0.750, 0.000, 0.876)
Sb (0.999, 0.767, 0.884)
Sb (0.501, 0.233, 0.884)
Sb (0.509, 0.757, 0.634)
Ac (0.250, 0.500, 0.876)
Sb (0.009, 0.757, 0.366)
Ac (0.750, 0.000, 0.374)
Ac (0.750, 0.500, 0.124)
Ac (0.250, 0.500, 0.374)
Sb (0.001, 0.233, 0.116)
Sb (0.991, 0.243, 0.634)
Ac (0.750, 0.500, 0.626)
Ac (0.250, 0.000, 0.626)
Sb (0.499, 0.767, 0.116)
Np (0.250, 0.000, 0.124)

density of states at the Fermi level	21.51	states/eV/cell
electronic total energy	-6.145	eV/atom
ρ	7.90	g/cm³
total moment	7.82	μB per cell
energy relative to the elements, uncorrected	-89.3	kJ per mole of atoms

No. 16
Crystalline SrIn2As at its relaxed geometry. Source: the Alexandria database, functional GGA-PBE.

a = 5.868 Å, b = 5.868 Å, c = 5.868 Å
α = 132.12°, β = 132.12°, γ = 70.04°
Fractional positions:
Sr (0.500, 0.500, 0.000)
In (0.000, 0.000, 0.000)
In (0.250, 0.750, 0.500)
As (0.750, 0.250, 0.500)

calculated formation energy	-0.338	eV/atom
density of states at the Fermi level	1.69	states/eV/cell
electronic total energy	-3.290	eV/atom
ρ	5.98	g/cm³
total moment	0.00	μB per cell

No. 17
Crystalline LaZr2Br at its relaxed geometry. Source: the Alexandria database, functional GGA-PBE.

a = 5.656 Å, b = 5.656 Å, c = 6.236 Å
α = 77.47°, β = 77.47°, γ = 34.12°
Fractional positions:
Zr (0.769, 0.769, 0.814)
Br (0.466, 0.466, 0.516)
Zr (0.033, 0.033, 0.880)
La (0.232, 0.232, 0.290)

density of states at the Fermi level	4.53	states/eV/cell
electronic total energy	-6.014	eV/atom
ρ	6.11	g/cm³
total moment	0.00	μB per cell
energy relative to the elements, uncorrected	-8.7	kJ per mole of atoms

No. 18
Crystalline ZnTc2Cl at its relaxed geometry. Source: the Alexandria database, functional GGA-PBE.

a = 3.293 Å, b = 3.295 Å, c = 6.493 Å
α = 90.00°, β = 90.00°, γ = 90.00°
Fractional positions:
Zn (0.500, 0.500, 0.250)
Tc (0.000, 0.000, 0.077)
Cl (0.500, 0.500, 0.750)
Tc (0.000, 0.000, 0.423)

density of states at the Fermi level	3.38	states/eV/cell
electronic total energy	-5.383	eV/atom
ρ	7.00	g/cm³
total moment	0.00	μB per cell
energy relative to the elements, uncorrected	55.9	kJ per mole of atoms

No. 19
Crystalline ZnWSCl2 at its relaxed geometry. Source: the Alexandria database, functional GGA-PBE.

a = 4.543 Å, b = 4.543 Å, c = 5.246 Å
α = 90.00°, β = 90.00°, γ = 90.00°
Fractional positions:
Zn (0.000, 0.000, 0.000)
Cl (0.500, 0.000, 0.000)
S (0.000, 0.000, 0.500)
W (0.500, 0.500, 0.500)
Cl (0.000, 0.500, 0.000)

density of states at the Fermi level	4.25	states/eV/cell
electronic total energy	-3.671	eV/atom
ρ	5.40	g/cm³
total moment	4.00	μB per cell
energy relative to the elements, uncorrected	71.2	kJ per mole of atoms

No. 20
Crystalline PuTh3N4 at its relaxed geometry. Source: the Alexandria database, functional GGA-PBE.

a = 6.284 Å, b = 6.271 Å, c = 7.259 Å
α = 90.00°, β = 90.00°, γ = 109.36°
Fractional positions:
N (0.500, 0.755, 0.122)
Th (0.750, 0.500, 0.628)
N (0.001, 0.750, 0.375)
Th (0.750, 0.000, 0.373)
N (0.501, 0.750, 0.625)
N (0.000, 0.245, 0.122)
Th (0.250, 0.500, 0.877)
Pu (0.750, 0.000, 0.879)
Pu (0.250, 0.000, 0.121)
N (0.499, 0.250, 0.375)
Th (0.750, 0.500, 0.123)
N (0.500, 0.245, 0.878)
Th (0.250, 0.500, 0.372)
N (0.000, 0.755, 0.878)
N (0.999, 0.250, 0.625)
Th (0.250, 0.000, 0.627)

density of states at the Fermi level	18.67	states/eV/cell
electronic total energy	-10.218	eV/atom
ρ	12.26	g/cm³
total moment	10.44	μB per cell
energy relative to the elements, uncorrected	-142.9	kJ per mole of atoms

No. 21
Crystalline AlZn2Bi at its relaxed geometry. Source: the Alexandria database, functional GGA-PBE.

a = 3.469 Å, b = 3.469 Å, c = 6.853 Å
α = 90.00°, β = 90.00°, γ = 90.00°
Fractional positions:
Bi (0.500, 0.500, 0.500)
Zn (0.000, 0.000, 0.198)
Zn (0.000, 0.000, 0.802)
Al (0.500, 0.500, 0.000)

calculated formation energy	0.195	eV/atom
density of states at the Fermi level	2.34	states/eV/cell
electronic total energy	-2.348	eV/atom
ρ	7.39	g/cm³
total moment	0.00	μB per cell

No. 22
Crystalline Pu4CoPt3 at its relaxed geometry. Source: the Alexandria database, functional GGA-PBE.

a = 3.888 Å, b = 4.171 Å, c = 10.818 Å
α = 90.00°, β = 90.00°, γ = 90.00°
Fractional positions:
Pt (0.000, 0.500, 0.594)
Pu (0.000, 0.000, 0.135)
Pu (0.500, 0.000, 0.639)
Pt (0.000, 0.000, 0.407)
Pu (0.500, 0.500, 0.352)
Co (0.500, 0.500, 0.086)
Pt (0.500, 0.000, 0.917)
Pu (0.000, 0.500, 0.869)

calculated formation energy	-0.538	eV/atom
density of states at the Fermi level	42.35	states/eV/cell
electronic total energy	-10.858	eV/atom
ρ	15.34	g/cm³
total moment	0.77	μB per cell

No. 23
Crystalline InSb3Cl at its relaxed geometry. Source: the Alexandria database, functional GGA-PBE.

a = 5.645 Å, b = 5.645 Å, c = 5.645 Å
α = 90.00°, β = 90.00°, γ = 90.00°
Fractional positions:
In (0.000, 0.000, 0.000)
Sb (0.000, 0.500, 0.000)
Sb (0.000, 0.000, 0.500)
Cl (0.500, 0.500, 0.500)
Sb (0.500, 0.000, 0.000)

density of states at the Fermi level	5.97	states/eV/cell
electronic total energy	-2.714	eV/atom
ρ	4.76	g/cm³
total moment	0.00	μB per cell
energy relative to the elements, uncorrected	65.3	kJ per mole of atoms

No. 24
Crystalline Er3SO3 at its relaxed geometry. Source: the Alexandria database, functional GGA-PBE.

a = 6.494 Å, b = 6.494 Å, c = 7.505 Å
α = 64.36°, β = 64.36°, γ = 60.00°
Fractional positions:
O (0.547, 0.209, 0.368)
Er (0.093, 0.761, 0.720)
O (0.123, 0.453, 0.632)
O (0.877, 0.547, 0.368)
Er (0.761, 0.426, 0.720)
S (0.667, 0.667, 0.000)
O (0.453, 0.791, 0.632)
Er (0.426, 0.093, 0.720)
O (0.791, 0.123, 0.632)
Er (0.574, 0.907, 0.280)
S (0.333, 0.333, 0.000)
O (0.209, 0.877, 0.368)
Er (0.907, 0.239, 0.280)
Er (0.239, 0.574, 0.280)

electronic total energy	-7.811	eV/atom
ρ	8.14	g/cm³
total moment	0.00	μB per cell
energy relative to the elements, uncorrected	-303.0	kJ per mole of atoms

No. 25
Crystalline BS2 at its relaxed geometry. Source: the Alexandria database, functional GGA-PBE.

a = 2.916 Å, b = 2.917 Å, c = 6.774 Å
α = 90.08°, β = 89.97°, γ = 60.00°
Fractional positions:
S (0.166, 0.667, 0.687)
B (0.500, 0.000, 0.500)
S (0.834, 0.333, 0.313)

density of states at the Fermi level	1.11	states/eV/cell
electronic total energy	-4.583	eV/atom
ρ	2.49	g/cm³
total moment	0.00	μB per cell
energy relative to the elements, uncorrected	38.1	kJ per mole of atoms